(1)
Entry from Alexandria via LeMat-Bulk: a relaxed structure of GaSiN (GGA-PBE).

Unit cell a=2.891 b=4.391 c=7.791 alpha=84.45 beta=83.93 gamma=80.56
Fractional positions:
Ga 0.000 0.000 0.000
Ga 0.413 0.917 0.288
Si 0.038 0.529 0.832
Si 0.648 0.448 0.482
N 0.209 0.255 0.436
N 0.574 0.532 0.699

Values from the calculation:
- formation energy (no corrections) (kJ/mol of atoms) = -28.8
- raw total energy (eV/atom) = -5.891
- distance to the lowest polymorph of the same formula (meV/atom) = 114
- total magnetization (μB per cell) = 0.0
- density of states at the Fermi level (states/eV/f.u.) = 1.00

***

(2)
Entry from Alexandria via LeMat-Bulk: a relaxed structure of NdErAlPb (GGA-PBE).

Unit cell a=7.578 b=7.578 c=7.578 alpha=90.00 beta=90.00 gamma=90.00
Fractional positions:
Nd 0.000 0.000 0.000
Nd 0.000 0.500 0.500
Nd 0.500 0.000 0.500
Nd 0.500 0.500 0.000
Er 0.000 0.000 0.500
Er 0.000 0.500 0.000
Er 0.500 0.000 0.000
Er 0.500 0.500 0.500
Al 0.250 0.250 0.750
Al 0.250 0.750 0.250
Al 0.750 0.250 0.250
Al 0.750 0.750 0.750
Pb 0.250 0.250 0.250
Pb 0.250 0.750 0.750
Pb 0.750 0.250 0.750
Pb 0.750 0.750 0.250

Values from the calculation:
- raw total energy (eV/atom) = -4.517
- total magnetization (μB per cell) = 0.0
- formation enthalpy at 0 K (eV/atom) = -0.32
- density of states at the Fermi level (states/eV/f.u.) = 3.22

***

(3)
Entry from Alexandria via LeMat-Bulk: a relaxed structure of CaTlBO3 (GGA-PBE).

Unit cell a=5.590 b=5.590 c=6.389 alpha=90.00 beta=90.00 gamma=120.00
Fractional positions:
Ca 0.000 0.000 0.000
Ca 0.000 0.000 0.500
Tl 0.333 0.667 0.250
Tl 0.667 0.333 0.750
B 0.333 0.667 0.750
B 0.667 0.333 0.250
O 0.188 0.377 0.750
O 0.188 0.812 0.750
O 0.377 0.188 0.250
O 0.623 0.812 0.750
O 0.812 0.188 0.250
O 0.812 0.623 0.250

Values from the calculation:
- formation energy (no corrections) (kJ/mol of atoms) = -214.8
- raw total energy (eV/atom) = -6.546
- total magnetization (μB per cell) = 0.0
- density of states at the Fermi level (states/eV/f.u.) = 0.00

***

(4)
Entry from Alexandria via LeMat-Bulk: a relaxed structure of Tb2LuBe (GGA-PBE).

Unit cell a=3.473 b=3.473 c=8.438 alpha=90.00 beta=90.00 gamma=90.00
Fractional positions:
Tb 0.000 0.000 0.196
Tb 0.000 0.000 0.804
Lu 0.500 0.500 0.500
Be 0.500 0.500 0.000

Values from the calculation:
- raw total energy (eV/atom) = -4.298
- distance to the lowest polymorph of the same formula (meV/atom) = 0
- total magnetization (μB per cell) = 0.0
- formation enthalpy at 0 K (eV/atom) = 0.08
- density of states at the Fermi level (states/eV/f.u.) = 3.74

***

(5)
Entry from Alexandria via LeMat-Bulk: a relaxed structure of Pu2TlHg6 (GGA-PBE).

Unit cell a=8.612 b=8.612 c=8.612 alpha=145.55 beta=136.57 gamma=56.58
Fractional positions:
Pu 0.109 0.109 0.000
Pu 0.891 0.891 0.000
Tl 0.500 0.000 0.500
Hg 0.059 0.302 0.757
Hg 0.233 0.500 0.733
Hg 0.455 0.698 0.757
Hg 0.545 0.302 0.243
Hg 0.767 0.500 0.267
Hg 0.941 0.698 0.243

Values from the calculation:
- raw total energy (eV/atom) = -3.683
- distance to the lowest polymorph of the same formula (meV/atom) = 77
- total magnetization (μB per cell) = 12.0
- formation enthalpy at 0 K (eV/atom) = -0.03
- density of states at the Fermi level (states/eV/f.u.) = 24.24

***

(6)
Entry from Alexandria via LeMat-Bulk: a relaxed structure of CsLi2TlAu (GGA-PBE).

Unit cell a=5.384 b=5.384 c=5.712 alpha=90.00 beta=90.00 gamma=90.00
Fractional positions:
Cs 0.000 0.000 0.000
Li 0.000 0.500 0.500
Li 0.500 0.000 0.500
Tl 0.500 0.500 0.000
Au 0.500 0.500 0.500

Values from the calculation:
- raw total energy (eV/atom) = -2.166
- total magnetization (μB per cell) = 0.0
- formation enthalpy at 0 K (eV/atom) = -0.10
- density of states at the Fermi level (states/eV/f.u.) = 3.75